! LiAgSbAs (PBE, optimized geometry); values from VASP
! **N(E_F)**: 1.9 states/eV/f.u.
! **Formation energy from raw total energies**: -36 meV/atom
! **Density**: 6.37 g cm⁻³
! **Spin magnetization**: 0.000 μB per formula unit
&SYSTEM
  ibrav = 0, nat = 16, ntyp = 4
/
ATOMIC_SPECIES
Li 6.94 Li.upf
Ag 107.87 Ag.upf
Sb 121.76 Sb.upf
As 74.92 As.upf
CELL_PARAMETERS angstrom
6.8754 0.0000 0.0000
0.0000 6.8754 0.0000
0.0000 0.0000 6.8754
ATOMIC_POSITIONS crystal
Li 0.0000 0.0000 0.0000
Li 0.0000 0.5000 0.5000
Li 0.5000 0.0000 0.5000
Li 0.5000 0.5000 0.0000
Ag 0.0000 0.0000 0.5000
Ag 0.0000 0.5000 0.0000
Ag 0.5000 0.0000 0.0000
Ag 0.5000 0.5000 0.5000
Sb 0.2500 0.2500 0.2500
Sb 0.2500 0.7500 0.7500
Sb 0.7500 0.2500 0.7500
Sb 0.7500 0.7500 0.2500
As 0.2500 0.2500 0.7500
As 0.2500 0.7500 0.2500
As 0.7500 0.2500 0.2500
As 0.7500 0.7500 0.7500